Here is a relaxed structure of Cr2SbIrF from Alexandria. Energies are from PBE with a Hubbard U.

The structure belongs to space group P4/mmm (No. 123); the cell edges are 5.090, 5.090 and 3.951 Å and the angles 90.00°, 90.00° and 90.00°. Symmetry generates all atoms from Cr at (0.000, 0.500, 0.000), Sb at (0.000, 0.000, 0.500), Ir at (0.500, 0.500, 0.000) and F at (0.500, 0.500, 0.500).

The total magnetization is 1.484 μB per atom. The value obtained for the raw total energy is -5.682 eV/atom.